The following is a PBE with a Hubbard U calculation of a relaxed Pb3WCl2O5 crystal, from Alexandria via LeMat-Bulk.

Computed properties:
- SG: Cmcm (63)
- Final energy: -5.782 eV/atom

Geometry as POSCAR:
```
Pb3WCl2O5
1.0
-3.6624 3.5207 5.1712
-1.1182 -6.2171 -3.5564
5.8011 -5.5583 7.8927
Pb W Cl O
6 2 4 10
Cartesian
0.9282 -1.5656 10.2683
0.3129 -2.8100 6.3691
0.7076 -5.4447 3.1384
2.8217 -5.2138 9.7825
-1.8012 -3.0409 -0.2750
0.0924 -6.6890 -0.7608
-1.6038 -0.1971 5.0577
2.6244 -8.0576 4.4498
-1.0070 -2.4815 3.0103
2.0275 -5.7731 6.4973
2.9006 -2.7791 3.9463
0.0000 0.0000 0.0000
2.9596 -9.3408 3.2997
2.9585 -6.4328 3.4217
0.2933 -0.5634 5.3321
0.7272 -7.6913 4.1754
-1.9380 -1.8219 6.0858
-1.9391 1.0861 6.2078
4.3495 -7.7655 5.3142
2.1182 -9.0240 6.0679
-3.3290 -0.4891 4.1933
-1.0977 0.7694 3.4396
```